No. 1
DFT (PBEsol) results for a geometry-optimized InFeSi2 structure.

Calculated values
**Formation energy (no corrections)**: 177 meV per atom
**Volume**: 15.48 Å³/atom
**Raw total energy**: -5.68 eV/atom
**Total moment**: 0.5 Bohr magnetons per cell

Geometry as POSCAR:
```
InFeSi2
1.0
2.658 0.000 0.000
0.000 4.490 0.000
-1.329 -2.245 5.189
Fe In Si
1 1 2
Direct
0.500 0.000 0.000
0.000 0.500 0.000
0.809 0.809 0.619
0.191 0.191 0.381
```

---

No. 2
DFT (PBEsol) results for a geometry-optimized LiBeAg structure.

Calculated values
**Volume**: 15.70 Å³/atom
**Raw total energy**: -2.69 eV/atom
**Total moment**: 0.0 Bohr magnetons per cell
**Energy relative to the elements**: 403.6 meV per atom

Geometry as POSCAR:
```
LiBeAg
1.0
4.053 0.000 0.000
2.027 3.510 0.000
2.027 1.170 3.310
Be Ag Li
1 1 1
Direct
0.000 0.000 0.000
0.250 0.250 0.250
0.500 0.500 0.500
```

---

No. 3
DFT (PBEsol) results for a geometry-optimized Ca19Mg8H54 structure.

Calculated values
**Volume**: 10.73 Å³/atom
**Raw total energy**: -3.35 eV/atom
**Total moment**: 0.0 Bohr magnetons per cell

Geometry as POSCAR:
```
Ca19Mg8H54
1.0
10.414 0.000 0.000
-3.471 9.818 0.000
-3.471 -4.909 8.503
Ca Mg H
19 8 54
Direct
0.688 0.342 0.654
0.312 0.658 0.346
0.688 0.034 0.346
0.312 0.966 0.654
0.346 0.312 0.658
0.654 0.688 0.342
0.654 0.312 0.966
0.346 0.688 0.034
0.034 0.346 0.688
0.966 0.654 0.312
0.342 0.654 0.688
0.658 0.346 0.312
0.668 0.000 0.668
0.332 0.000 0.332
0.668 0.668 0.000
0.332 0.332 0.000
0.000 0.332 0.332
0.000 0.668 0.668
0.000 0.000 0.000
0.683 0.683 0.683
0.000 0.317 0.000
0.000 0.000 0.317
0.317 0.000 0.000
0.317 0.317 0.317
0.000 0.683 0.000
0.000 0.000 0.683
0.683 0.000 0.000
0.574 0.719 0.519
0.800 0.281 0.855
0.200 0.055 0.481
0.426 0.945 0.145
0.855 0.800 0.281
0.519 0.574 0.719
0.145 0.426 0.945
0.481 0.200 0.055
0.055 0.481 0.200
0.945 0.145 0.426
0.719 0.519 0.574
0.281 0.855 0.800
0.426 0.281 0.481
0.200 0.719 0.145
0.800 0.945 0.519
0.574 0.055 0.855
0.145 0.200 0.719
0.481 0.426 0.281
0.855 0.574 0.055
0.519 0.800 0.945
0.945 0.519 0.800
0.055 0.855 0.574
0.281 0.481 0.426
0.719 0.145 0.200
0.603 0.422 0.819
0.397 0.578 0.181
0.603 0.784 0.181
0.397 0.216 0.819
0.181 0.397 0.578
0.819 0.603 0.422
0.819 0.397 0.216
0.181 0.603 0.784
0.784 0.181 0.603
0.216 0.819 0.397
0.422 0.819 0.603
0.578 0.181 0.397
0.828 0.718 0.890
0.172 0.282 0.110
0.828 0.938 0.110
0.172 0.062 0.890
0.110 0.172 0.282
0.890 0.828 0.718
0.890 0.172 0.062
0.110 0.828 0.938
0.938 0.110 0.828
0.062 0.890 0.172
0.718 0.890 0.828
0.282 0.110 0.172
0.385 0.500 0.885
0.615 0.500 0.115
0.885 0.385 0.500
0.115 0.615 0.500
0.500 0.115 0.615
0.500 0.885 0.385
```

---

No. 4
DFT (PBEsol) results for a geometry-optimized BeHg2Sb structure.

Calculated values
**Formation energy (no corrections)**: 335 meV per atom
**Volume**: 22.36 Å³/atom
**Raw total energy**: -2.09 eV/atom
**Total moment**: 0.0 Bohr magnetons per cell

Geometry as POSCAR:
```
BeHg2Sb
1.0
4.623 0.000 0.000
0.000 4.623 0.000
-2.311 -2.311 8.371
Sb Hg Be
2 4 2
Direct
0.250 0.750 0.500
0.000 0.000 0.000
0.449 0.875 0.250
0.801 0.375 0.250
0.125 0.199 0.750
0.625 0.551 0.750
0.750 0.250 0.500
0.500 0.500 0.000
```

---

No. 5
DFT (PBEsol) results for a geometry-optimized TiNb2Al2 structure.

Calculated values
**Volume**: 16.71 Å³/atom
**Raw total energy**: -7.89 eV/atom
**Total moment**: 0.0 Bohr magnetons per cell
**Energy relative to the elements**: -259.9 meV per atom

Geometry as POSCAR:
```
TiNb2Al2
1.0
-1.885 2.883 0.146
-0.963 -0.975 6.825
5.748 3.691 1.339
Nb Al Ti
4 4 2
Direct
0.500 0.173 0.673
0.500 0.673 0.827
0.500 0.827 0.327
0.500 0.327 0.173
0.000 0.373 0.873
0.000 0.873 0.627
0.000 0.627 0.127
0.000 0.127 0.373
0.000 0.000 0.000
0.000 0.500 0.500
```

---

No. 6
DFT (PBEsol) results for a geometry-optimized Li2CdIn structure.

Calculated values
**Volume**: 17.82 Å³/atom
**Raw total energy**: -2.32 eV/atom
**Total moment**: 0.0 Bohr magnetons per cell
**Energy relative to the elements**: -296.1 meV per atom

Geometry as POSCAR:
```
Li2CdIn
1.0
4.654 0.000 0.000
2.327 4.030 0.000
2.327 1.343 3.800
Li In Cd
2 1 1
Direct
0.750 0.750 0.750
0.250 0.250 0.250
0.000 0.000 0.000
0.500 0.500 0.500
```

---

No. 7
DFT (PBEsol) results for a geometry-optimized Cu2O3 structure.

Calculated values
**Formation energy (no corrections)**: -436 meV per atom
**Volume**: 9.65 Å³/atom
**Raw total energy**: -5.32 eV/atom
**Total moment**: 0.0 Bohr magnetons per cell

Geometry as POSCAR:
```
Cu2O3
1.0
-5.664 -4.012 -3.862
6.898 -0.781 -3.860
0.743 -2.892 7.361
Cu O
16 24
Direct
0.500 0.500 0.500
0.033 0.250 0.283
0.217 0.967 0.250
0.283 0.533 0.750
0.250 0.283 0.033
0.250 0.783 0.533
0.533 0.250 0.783
0.000 0.000 0.500
0.000 0.500 0.000
0.467 0.750 0.217
0.500 0.000 0.000
0.750 0.217 0.467
0.750 0.717 0.967
0.783 0.033 0.750
0.717 0.467 0.250
0.967 0.750 0.717
0.217 0.731 0.274
0.283 0.557 0.515
0.731 0.774 0.717
0.057 0.274 0.543
0.231 0.515 0.957
0.557 0.015 0.783
0.957 0.943 0.226
0.543 0.769 0.985
0.015 0.283 0.057
0.226 0.783 0.769
0.485 0.543 0.269
0.274 0.043 0.557
0.726 0.957 0.443
0.774 0.217 0.231
0.515 0.457 0.731
0.985 0.717 0.943
0.043 0.057 0.774
0.457 0.231 0.015
0.443 0.985 0.217
0.769 0.485 0.043
0.943 0.726 0.457
0.269 0.226 0.283
0.783 0.269 0.726
0.717 0.443 0.485
```

---

No. 8
DFT (PBEsol) results for a geometry-optimized CuMoBr2 structure.

Calculated values
**Formation energy (no corrections)**: 1096 meV per atom
**Volume**: 19.08 Å³/atom
**Raw total energy**: -3.86 eV/atom
**Total moment**: 3.2 Bohr magnetons per cell

Geometry as POSCAR:
```
CuMoBr2
1.0
4.762 0.000 0.000
2.381 4.124 0.000
2.381 1.375 3.888
Br Cu Mo
2 1 1
Direct
0.000 0.000 0.000
0.750 0.750 0.750
0.500 0.500 0.500
0.250 0.250 0.250
```

---

No. 9
DFT (PBEsol) results for a geometry-optimized CoNiBr2 structure.

Calculated values
**Formation energy (no corrections)**: 54 meV per atom
**Volume**: 19.83 Å³/atom
**Raw total energy**: -4.35 eV/atom
**Total moment**: 3.0 Bohr magnetons per cell

Geometry as POSCAR:
```
CoNiBr2
1.0
-0.125 -1.546 -3.288
-1.573 -3.250 -0.423
-6.072 3.112 -1.217
Ni Co Br
1 1 2
Direct
0.292 0.292 0.456
0.625 0.625 0.296
0.958 0.958 0.106
0.626 0.626 0.642
```

---

No. 10
DFT (PBEsol) results for a geometry-optimized Tm3Sc structure.

Calculated values
**Volume**: 27.35 Å³/atom
**Raw total energy**: -5.32 eV/atom
**Total moment**: 0.0 Bohr magnetons per cell
**Energy relative to the elements**: 8.9 meV per atom

Geometry as POSCAR:
```
Tm3Sc
1.0
5.343 0.000 0.000
0.000 6.877 0.000
0.000 -3.439 5.956
Tm Sc
6 2
Direct
0.250 0.169 0.831
0.250 0.169 0.337
0.250 0.663 0.831
0.750 0.831 0.169
0.750 0.831 0.663
0.750 0.337 0.169
0.750 0.333 0.667
0.250 0.667 0.333
```

---

No. 11
DFT (PBEsol) results for a geometry-optimized BaIrRh2 structure.

Calculated values
**Volume**: 18.29 Å³/atom
**Raw total energy**: -6.27 eV/atom
**Total moment**: 0.0 Bohr magnetons per cell
**Energy relative to the elements**: 792.5 meV per atom

Geometry as POSCAR:
```
BaIrRh2
1.0
2.932 0.000 0.000
0.000 4.822 0.000
0.000 0.000 5.174
Ba Ir Rh
1 1 2
Direct
0.500 0.500 0.000
0.000 0.500 0.500
0.000 0.000 0.000
0.500 0.000 0.500
```

---

No. 12
DFT (PBEsol) results for a geometry-optimized TeSe2 structure.

Calculated values
**Formation energy (no corrections)**: 192 meV per atom
**Volume**: 24.84 Å³/atom
**Raw total energy**: -3.55 eV/atom
**Total moment**: 0.0 Bohr magnetons per cell

Geometry as POSCAR:
```
TeSe2
1.0
3.779 0.000 0.000
0.000 5.162 0.000
-1.889 -2.581 7.640
Se Te
4 2
Direct
0.999 0.749 0.997
0.001 0.251 0.003
0.155 0.905 0.311
0.845 0.095 0.689
0.672 0.422 0.344
0.328 0.578 0.656
```

---

Copy entry 8 word for word.
DFT (PBEsol) results for a geometry-optimized CuMoBr2 structure.

Calculated values
**Formation energy (no corrections)**: 1096 meV per atom
**Volume**: 19.08 Å³/atom
**Raw total energy**: -3.86 eV/atom
**Total moment**: 3.2 Bohr magnetons per cell

Geometry as POSCAR:
```
CuMoBr2
1.0
4.762 0.000 0.000
2.381 4.124 0.000
2.381 1.375 3.888
Br Cu Mo
2 1 1
Direct
0.000 0.000 0.000
0.750 0.750 0.750
0.500 0.500 0.500
0.250 0.250 0.250
```

---

Question: Among the records above, which one has the highest total moment?
Answer: CuMoBr2